[1]
{
  "formula": "Mg7Re6",
  "functional": "PBE-GGA",
  "state": "relaxed",
  "e_tot_ev_per_cell": -77.55,
  "vol_a3_per_cell": 205.0,
  "magmom_total_mub_per_fu": 0.00,
  "sg": "R-3m (166)",
  "lattice_angstrom": [[-8.455, -3.428, 2.855], [-6.634, -6.869, -0.442], [-5.006, -6.858, 4.393]],
  "species": ["Mg", "Mg", "Mg", "Mg", "Mg", "Mg", "Mg", "Re", "Re", "Re", "Re", "Re", "Re"],
  "fractional_positions": [[0.082, 0.591, 0.591], [0.591, 0.082, 0.591], [0.409, 0.409, 0.918], [0.591, 0.591, 0.082], [0.409, 0.918, 0.409], [0.918, 0.409, 0.409], [0.500, 0.500, 0.500], [0.047, 0.047, 0.047], [0.667, 0.667, 0.667], [0.858, 0.858, 0.858], [0.333, 0.333, 0.333], [0.142, 0.142, 0.142], [0.953, 0.953, 0.953]]
}

---

[2]
{
  "formula": "Mg3Re",
  "functional": "PBE-GGA",
  "state": "relaxed",
  "e_tot_ev_per_cell": -16.12,
  "vol_a3_per_cell": 73.4,
  "magmom_total_mub_per_fu": 0.00,
  "sg": "P-6m2 (187)",
  "lattice_angstrom": [[2.947, 0.000, 0.000], [-1.474, 2.552, 0.000], [0.000, 0.000, 9.754]],
  "species": ["Mg", "Mg", "Mg", "Re"],
  "fractional_positions": [[0.333, 0.667, 0.768], [0.000, 0.000, 0.500], [0.333, 0.667, 0.232], [0.000, 0.000, 0.000]]
}

---

[3]
{
  "formula": "Mg5Re3",
  "functional": "PBE-GGA",
  "state": "relaxed",
  "e_tot_ev_per_cell": -87.17,
  "vol_a3_per_cell": 280.7,
  "magmom_total_mub_per_fu": 0.00,
  "sg": "P1 (1)",
  "lattice_angstrom": [[-1.293, 10.853, -1.966], [-2.303, -11.742, -0.560], [0.428, 0.284, 7.271]],
  "species": ["Re", "Re", "Re", "Re", "Re", "Re", "Mg", "Mg", "Mg", "Mg", "Mg", "Mg", "Mg", "Mg", "Mg", "Mg"],
  "fractional_positions": [[0.757, 0.302, 0.052], [0.241, 0.699, 0.949], [0.709, 0.759, 0.508], [0.242, 0.191, 0.441], [0.786, 0.741, 0.991], [0.264, 0.313, 0.064], [0.256, 0.816, 0.566], [0.748, 0.447, 0.697], [0.755, 0.192, 0.442], [0.247, 0.554, 0.305], [0.251, 0.079, 0.829], [0.764, 0.071, 0.821], [0.757, 0.573, 0.322], [0.256, 0.426, 0.675], [0.240, 0.928, 0.177], [0.719, 0.909, 0.159]]
}

---

[4]
{
  "formula": "MgRe2",
  "functional": "PBE-GGA",
  "state": "relaxed",
  "e_tot_ev_per_cell": -47.42,
  "vol_a3_per_cell": 114.8,
  "magmom_total_mub_per_fu": 0.00,
  "sg": "I4_1/amd (141)",
  "lattice_angstrom": [[3.886, 6.765, 3.249], [-0.978, 6.384, 5.450], [-0.448, -8.093, -2.389]],
  "species": ["Mg", "Mg", "Re", "Re", "Re", "Re"],
  "fractional_positions": [[0.000, 0.000, 0.000], [0.750, 0.250, 0.500], [0.330, 0.830, 0.500], [0.170, 0.670, 0.500], [0.580, 0.580, 0.000], [0.420, 0.420, 0.000]]
}

---

[5]
{
  "formula": "Mg7Re",
  "functional": "PBE-GGA",
  "state": "relaxed",
  "e_tot_ev_per_cell": -21.87,
  "vol_a3_per_cell": 158.0,
  "magmom_total_mub_per_fu": 0.00,
  "sg": "Fm-3m (225)",
  "lattice_angstrom": [[-2.411, -5.348, -1.552], [-4.106, -2.637, 3.606], [-5.804, -0.321, -1.739]],
  "species": ["Mg", "Mg", "Mg", "Mg", "Mg", "Mg", "Mg", "Re"],
  "fractional_positions": [[0.500, 0.000, 0.500], [0.500, 0.500, 0.500], [0.000, 0.000, 0.500], [0.000, 0.500, 0.000], [0.500, 0.500, 0.000], [0.500, 0.000, 0.000], [0.000, 0.500, 0.500], [0.000, 0.000, 0.000]]
}

---

[6]
{
  "formula": "MgRe5",
  "functional": "PBE-GGA",
  "state": "relaxed",
  "e_tot_ev_per_cell": -61.32,
  "vol_a3_per_cell": 103.7,
  "magmom_total_mub_per_fu": 0.01,
  "sg": "P6/mmm (191)",
  "lattice_angstrom": [[2.530, 4.446, 0.230], [-4.533, -0.491, 2.331], [2.107, -1.395, 3.803]],
  "species": ["Re", "Re", "Re", "Re", "Re", "Mg"],
  "fractional_positions": [[0.500, 0.500, 0.500], [0.667, 0.333, 0.000], [0.333, 0.667, 0.000], [0.000, 0.500, 0.500], [0.500, 0.000, 0.500], [0.000, 0.000, 0.000]]
}

---

[7]
{
  "formula": "Mg5Re3",
  "functional": "PBE-GGA",
  "state": "relaxed",
  "e_tot_ev_per_cell": -42.88,
  "vol_a3_per_cell": 137.8,
  "magmom_total_mub_per_fu": 0.00,
  "sg": "Cmmm (65)",
  "lattice_angstrom": [[4.502, -4.689, 0.000], [4.502, 4.689, 0.000], [0.000, 0.000, 3.263]],
  "species": ["Re", "Re", "Re", "Mg", "Mg", "Mg", "Mg", "Mg"],
  "fractional_positions": [[0.726, 0.726, 0.500], [0.274, 0.274, 0.500], [0.500, 0.500, 0.000], [0.741, 0.259, 0.500], [0.000, 0.000, 0.000], [0.259, 0.741, 0.500], [0.500, 0.000, 0.000], [0.000, 0.500, 0.000]]
}

---

[8]
{
  "formula": "MgRe2",
  "functional": "PBE-GGA",
  "state": "relaxed",
  "e_tot_ev_per_cell": -26.14,
  "vol_a3_per_cell": 47.4,
  "magmom_total_mub_per_fu": 0.00,
  "sg": "I4/mmm (139)",
  "lattice_angstrom": [[3.101, 0.000, 0.000], [0.000, 3.101, 0.000], [-1.551, -1.551, 4.925]],
  "species": ["Mg", "Re", "Re"],
  "fractional_positions": [[0.000, 0.000, 0.000], [0.319, 0.319, 0.639], [0.681, 0.681, 0.361]]
}

---

[9]
{
  "formula": "MgRe5",
  "functional": "PBE-GGA",
  "state": "relaxed",
  "e_tot_ev_per_cell": -62.68,
  "vol_a3_per_cell": 91.7,
  "magmom_total_mub_per_fu": 0.00,
  "sg": "Cm (8)",
  "lattice_angstrom": [[-1.141, -3.750, 3.505], [1.484, -4.421, 2.431], [2.763, 1.812, 5.619]],
  "species": ["Mg", "Re", "Re", "Re", "Re", "Re"],
  "fractional_positions": [[0.287, 0.287, 0.920], [0.621, 0.621, 0.265], [0.646, 0.646, 0.682], [0.332, 0.332, 0.353], [0.956, 0.956, 0.587], [0.992, 0.992, 0.026]]
}

---

[10]
{
  "formula": "MgRe2",
  "functional": "PBE-GGA",
  "state": "relaxed",
  "e_tot_ev_per_cell": -25.96,
  "vol_a3_per_cell": 48.1,
  "magmom_total_mub_per_fu": 0.00,
  "sg": "P-3m1 (164)",
  "lattice_angstrom": [[2.828, 0.000, 0.000], [-1.414, 2.449, 0.000], [0.000, 0.000, 6.943]],
  "species": ["Mg", "Re", "Re"],
  "fractional_positions": [[0.667, 0.333, 0.333], [0.000, 0.000, 0.982], [0.333, 0.667, 0.685]]
}

---

[11]
{
  "formula": "Mg2Re",
  "functional": "PBE-GGA",
  "state": "relaxed",
  "e_tot_ev_per_cell": -26.41,
  "vol_a3_per_cell": 99.3,
  "magmom_total_mub_per_fu": 0.00,
  "sg": "Fd-3m (227)",
  "lattice_angstrom": [[0.000, 3.675, 3.675], [3.675, 0.000, 3.675], [3.675, 3.675, 0.000]],
  "species": ["Mg", "Mg", "Mg", "Mg", "Re", "Re"],
  "fractional_positions": [[0.125, 0.625, 0.125], [0.125, 0.125, 0.125], [0.125, 0.125, 0.625], [0.625, 0.125, 0.125], [0.500, 0.500, 0.500], [0.750, 0.750, 0.750]]
}

---

[12]
{
  "formula": "Mg2Re",
  "functional": "PBE-GGA",
  "state": "relaxed",
  "e_tot_ev_per_cell": -55.29,
  "vol_a3_per_cell": 233.6,
  "magmom_total_mub_per_fu": 0.00,
  "sg": "Imma (74)",
  "lattice_angstrom": [[-2.004, 0.282, -1.756], [1.391, -3.424, -2.139], [-11.807, -12.011, 11.549]],
  "species": ["Mg", "Mg", "Mg", "Mg", "Mg", "Mg", "Mg", "Mg", "Re", "Re", "Re", "Re"],
  "fractional_positions": [[0.500, 0.250, 0.322], [0.500, 0.750, 0.678], [0.000, 0.250, 0.178], [0.000, 0.250, 0.038], [0.500, 0.250, 0.462], [0.000, 0.750, 0.822], [0.000, 0.750, 0.962], [0.500, 0.750, 0.538], [0.000, 0.750, 0.398], [0.500, 0.250, 0.898], [0.500, 0.750, 0.102], [0.000, 0.250, 0.602]]
}

---

DOS(E_F) for every record listed, in sequence, given in states/eV/atom: 0.4364 0.8013 0.3681 1.0947 0.4854 0.8119 0.6322 0.3438 0.5667 0.4915 0.9126 0.9820.
Formation energy for every record listed, in sequence, given in eV/atom: 0.6385 0.2773 0.2163 0.9264 0.2173 0.4184 0.3047 0.1180 0.1933 0.1759 0.8114 0.6052.